1.
Entry from Alexandria via LeMat-Bulk: a geometry-optimized Li2UZnN4 structure (PBE).

Values from the calculation:
Calculated volume   185.8 Å³/cell
SG   C2/c (15)
Raw formation energy   -9.8 kcal/mol of atoms
E   -6.637 eV per atom
Magnetic moment   0.00 μB per cell
Theoretical density   6.67 g cm⁻³

Cell lengths 6.0219, 6.0219, 6.9422 Å; angles 119.26, 119.26, 86.94 degrees
Sites, in units of the cell vectors:
N 0.2257 0.7166 0.4615
N 0.7743 0.2834 0.5385
N 0.7738 0.7559 0.0093
N 0.2166 0.7257 0.9615
N 0.2262 0.2441 0.9907
Li 0.5000 0.0000 0.0000
N 0.2559 0.2738 0.5093
Zn 0.5000 0.5000 0.5000
Li 0.5000 0.0000 0.5000
U 0.0000 0.5000 0.0000
Li 0.0000 0.0000 0.5000
N 0.7834 0.2743 0.0385
Zn 0.0000 0.0000 0.0000
N 0.7441 0.7262 0.4907
U 0.0000 0.5000 0.5000
Li 0.5000 0.5000 0.0000



2.
Entry from Alexandria via LeMat-Bulk: a geometry-optimized GePb structure (PBE).

Values from the calculation:
Calculated volume   548.4 Å³/cell
SG   P4/m (83)
E   -3.885 eV per atom
Magnetic moment   0.00 μB per cell
Theoretical density   6.78 g cm⁻³

Cell lengths 11.8991, 11.8991, 3.8734 Å; angles 90.00, 90.00, 90.00 degrees
Sites, in units of the cell vectors:
Pb 0.0466 0.2750 0.0000
Pb 0.2750 0.9534 0.0000
Pb 0.2926 0.2065 0.5000
Ge 0.7760 0.5470 0.5000
Ge 0.5470 0.2240 0.5000
Ge 0.5203 0.8931 0.0000
Pb 0.9534 0.7250 0.0000
Pb 0.7074 0.7935 0.5000
Pb 0.7935 0.2926 0.5000
Ge 0.4530 0.7760 0.5000
Pb 0.2065 0.7074 0.5000
Ge 0.4797 0.1069 0.0000
Ge 0.8931 0.4797 0.0000
Ge 0.2240 0.4530 0.5000
Pb 0.7250 0.0466 0.0000
Ge 0.1069 0.5203 0.0000



3.
Entry from Alexandria via LeMat-Bulk: a geometry-optimized Pm2TePb structure (PBE).

Values from the calculation:
Calculated volume   133.6 Å³/cell
SG   R3m (160)
Raw formation energy   -21.3 kcal/mol of atoms
E   -5.013 eV per atom
Magnetic moment   0.00 μB per cell
Energy relative to the lowest polymorph listed for this composition   10.9 kJ/mol of atoms
Theoretical density   7.77 g cm⁻³

Cell lengths 4.4649, 4.4649, 8.1554 Å; angles 74.11, 74.11, 60.00 degrees
Sites, in units of the cell vectors:
Pm 0.2553 0.2553 0.2342
Pb 0.6678 0.6678 0.9965
Pm 0.0787 0.0787 0.7639
Te 0.4982 0.4982 0.5054



4.
Entry from Alexandria via LeMat-Bulk: a geometry-optimized AcGeSe2 structure (PBE).

Values from the calculation:
Calculated volume   154.5 Å³/cell
SG   R-3m (166)
Raw formation energy   -19.4 kcal/mol of atoms
E   -4.764 eV per atom
Magnetic moment   0.00 μB per cell
Energy relative to the lowest polymorph listed for this composition   15.8 kJ/mol of atoms
Theoretical density   4.92 g cm⁻³

Cell lengths 4.5211, 4.5211, 9.1098 Å; angles 75.63, 75.63, 60.00 degrees
Sites, in units of the cell vectors:
Se 0.8972 0.8972 0.3083
Ge 0.0000 0.0000 0.0000
Se 0.1028 0.1028 0.6917
Ac 0.5000 0.5000 0.5000



5.
Entry from Alexandria via LeMat-Bulk: a geometry-optimized SiP3 structure (PBE).

Values from the calculation:
Calculated volume   92.9 Å³/cell
SG   Pm-3m (221)
Raw formation energy   24.7 kcal/mol of atoms
E   -4.342 eV per atom
Magnetic moment   0.00 μB per cell
Theoretical density   2.16 g cm⁻³

Cell lengths 4.5290, 4.5290, 4.5290 Å; angles 90.00, 90.00, 90.00 degrees
Sites, in units of the cell vectors:
Si 0.0000 0.0000 0.0000
P 0.0000 0.5000 0.0000
P 0.5000 0.0000 0.0000
P 0.0000 0.0000 0.5000



6.
Entry from Alexandria via LeMat-Bulk: a geometry-optimized K6NaAu2IO8 structure (PBE).

Values from the calculation:
Calculated volume   731.3 Å³/cell
SG   P2/c (13)
Raw formation energy   -26.2 kcal/mol of atoms
E   -4.230 eV per atom
Magnetic moment   0.00 μB per cell
Theoretical density   4.12 g cm⁻³

Cell lengths 9.9984, 7.1771, 12.1492 Å; angles 57.02, 90.00, 90.00 degrees
Sites, in units of the cell vectors:
K 0.1860 0.5256 0.5874
K 0.8140 0.5256 0.0874
O 0.4277 0.7375 0.5130
O 0.0500 0.2158 0.8094
O 0.3402 0.5012 0.4086
K 0.6589 0.0128 0.0885
K 0.8398 0.5000 0.7500
Au 0.0000 0.0000 0.5000
K 0.1860 0.4744 0.9126
O 0.6598 0.5012 0.9086
O 0.4277 0.2625 0.9870
I 0.5000 0.5000 0.0000
O 0.9500 0.2158 0.3094
O 0.4196 0.7110 0.8334
K 0.1602 0.5000 0.2500
O 0.5804 0.2890 0.1666
O 0.4196 0.2890 0.6666
K 0.6405 0.0000 0.7500
O 0.0500 0.7842 0.6906
O 0.6598 0.4988 0.5914
K 0.3595 0.0000 0.2500
K 0.8140 0.4744 0.4126
Na 0.4940 0.5000 0.2500
K 0.6589 0.9872 0.4115
O 0.5723 0.7375 0.0130
O 0.5723 0.2625 0.4870
O 0.3402 0.4988 0.0914
Au 0.0000 0.0000 0.0000
O 0.5804 0.7110 0.3334
Na 0.5060 0.5000 0.7500
K 0.3411 0.9872 0.9115
I 0.5000 0.5000 0.5000
Au 0.0413 0.0000 0.7500
O 0.9500 0.7842 0.1906
K 0.3411 0.0128 0.5885
Au 0.9587 0.0000 0.2500



7.
Entry from Alexandria via LeMat-Bulk: a geometry-optimized LaPm3SmTm structure (PBE).

Values from the calculation:
Calculated volume   408.8 Å³/cell
SG   P2_1/m (11)
E   -4.705 eV per atom
Magnetic moment   0.00 μB per cell
Theoretical density   7.26 g cm⁻³

Cell lengths 5.1628, 8.1145, 10.9005 Å; angles 116.47, 90.00, 90.00 degrees
Sites, in units of the cell vectors:
Sm 0.7500 0.8717 0.3725
Pm 0.2500 0.6247 0.4556
Pm 0.7500 0.3768 0.2063
Tm 0.7500 0.3802 0.8774
Pm 0.7500 0.8693 0.0407
Sm 0.2500 0.1283 0.6275
La 0.7500 0.8780 0.7095
La 0.2500 0.1220 0.2905
Pm 0.2500 0.1307 0.9593
Tm 0.2500 0.6198 0.1226
Pm 0.2500 0.6232 0.7937
Pm 0.7500 0.3753 0.5444



8.
Entry from Alexandria via LeMat-Bulk: a geometry-optimized Ho4Cd5Ga2 structure (PBE).

Values from the calculation:
Calculated volume   267.6 Å³/cell
SG   P2/m (10)
E   -2.986 eV per atom
Magnetic moment   0.00 μB per cell
Theoretical density   8.45 g cm⁻³

Cell lengths 3.7347, 7.6405, 9.3931 Å; angles 93.31, 90.00, 90.00 degrees
Sites, in units of the cell vectors:
Ho 0.5000 0.1773 0.8619
Ho 0.5000 0.8227 0.1381
Ho 0.5000 0.2472 0.4327
Cd 0.0000 0.1711 0.1448
Ga 0.0000 0.9379 0.3706
Cd 0.0000 0.5543 0.3181
Cd 0.0000 0.5000 0.0000
Ga 0.0000 0.0621 0.6294
Ho 0.5000 0.7528 0.5673
Cd 0.0000 0.8289 0.8552
Cd 0.0000 0.4457 0.6819



9.
Entry from Alexandria via LeMat-Bulk: a geometry-optimized Sc2TcO structure (PBE).

Values from the calculation:
Calculated volume   58.3 Å³/cell
SG   P4/mmm (123)
Raw formation energy   -23.8 kcal/mol of atoms
E   -8.030 eV per atom
Magnetic moment   0.00 μB per cell
Theoretical density   5.81 g cm⁻³

Cell lengths 2.9735, 2.9735, 6.5926 Å; angles 90.00, 90.00, 90.00 degrees
Sites, in units of the cell vectors:
Sc 0.0000 0.0000 0.7755
O 0.5000 0.5000 0.0000
Tc 0.5000 0.5000 0.5000
Sc 0.0000 0.0000 0.2245



10.
Entry from Alexandria via LeMat-Bulk: a geometry-optimized Be2VTc2 structure (PBE).

Values from the calculation:
Calculated volume   122.6 Å³/cell
SG   P4/mbm (127)
E   -7.319 eV per atom
Magnetic moment   0.00 μB per cell
Energy relative to the lowest polymorph listed for this composition   47.9 kJ/mol of atoms
Theoretical density   7.18 g cm⁻³

Cell lengths 6.4344, 6.4344, 2.9608 Å; angles 90.00, 90.00, 90.00 degrees
Sites, in units of the cell vectors:
Tc 0.3384 0.8384 0.0000
Tc 0.1616 0.3384 0.0000
V 0.0000 0.0000 0.0000
Be 0.3713 0.1287 0.5000
Be 0.1287 0.6287 0.5000
V 0.5000 0.5000 0.0000
Tc 0.6616 0.1616 0.0000
Be 0.6287 0.8713 0.5000
Be 0.8713 0.3713 0.5000
Tc 0.8384 0.6616 0.0000



11.
Entry from Alexandria via LeMat-Bulk: a geometry-optimized Pr6Tl3In2 structure (PBE).

Values from the calculation:
Calculated volume   401.2 Å³/cell
SG   I4/mmm (139)
E   -3.761 eV per atom
Magnetic moment   0.00 μB per cell
Theoretical density   6.99 g cm⁻³

Cell lengths 6.0544, 6.0544, 11.7525 Å; angles 104.93, 104.93, 90.00 degrees
Sites, in units of the cell vectors:
Tl 0.8467 0.8467 0.6935
Pr 0.5882 0.0882 0.1765
Pr 0.7040 0.7040 0.4079
Pr 0.4118 0.9118 0.8235
In 0.5630 0.5630 0.1260
Tl 0.0000 0.0000 0.0000
In 0.4370 0.4370 0.8740
Pr 0.0882 0.5882 0.1765
Tl 0.1533 0.1533 0.3065
Pr 0.9118 0.4118 0.8235
Pr 0.2960 0.2960 0.5921



12.
Entry from Alexandria via LeMat-Bulk: a geometry-optimized Pu4Ge3Ru structure (PBE).

Values from the calculation:
Calculated volume   163.1 Å³/cell
SG   Pmmm (47)
E   -10.349 eV per atom
Magnetic moment   0.30 μB per cell
Energy relative to the lowest polymorph listed for this composition   0.0 kJ/mol of atoms
Theoretical density   13.18 g cm⁻³

Cell lengths 4.2003, 4.4346, 8.7576 Å; angles 90.00, 90.00, 90.00 degrees
Site moments in Bohr magnetons follow the coordinates.
Sites, in units of the cell vectors:
Pu 0.0000 0.5000 0.7680  -4.87
Ge 0.5000 0.0000 0.7636  0.00
Ru 0.5000 0.5000 0.0000  0.19
Ge 0.5000 0.5000 0.5000  0.01
Pu 0.0000 0.5000 0.2320  -4.87
Pu 0.0000 0.0000 0.5000  5.11
Pu 0.0000 0.0000 0.0000  4.68
Ge 0.5000 0.0000 0.2364  0.00



Q: What is the formula in the fourth record?
A: AcGeSe2



Q: The highest calculated volume belongs to which entry?
A: K6NaAu2IO8



Copy entry 3 word for word.
Entry from Alexandria via LeMat-Bulk: a geometry-optimized Pm2TePb structure (PBE).

Values from the calculation:
Calculated volume   133.6 Å³/cell
SG   R3m (160)
Raw formation energy   -21.3 kcal/mol of atoms
E   -5.013 eV per atom
Magnetic moment   0.00 μB per cell
Energy relative to the lowest polymorph listed for this composition   10.9 kJ/mol of atoms
Theoretical density   7.77 g cm⁻³

Cell lengths 4.4649, 4.4649, 8.1554 Å; angles 74.11, 74.11, 60.00 degrees
Sites, in units of the cell vectors:
Pm 0.2553 0.2553 0.2342
Pb 0.6678 0.6678 0.9965
Pm 0.0787 0.0787 0.7639
Te 0.4982 0.4982 0.5054



Please write out number 2 again, unchanged.
Entry from Alexandria via LeMat-Bulk: a geometry-optimized GePb structure (PBE).

Values from the calculation:
Calculated volume   548.4 Å³/cell
SG   P4/m (83)
E   -3.885 eV per atom
Magnetic moment   0.00 μB per cell
Theoretical density   6.78 g cm⁻³

Cell lengths 11.8991, 11.8991, 3.8734 Å; angles 90.00, 90.00, 90.00 degrees
Sites, in units of the cell vectors:
Pb 0.0466 0.2750 0.0000
Pb 0.2750 0.9534 0.0000
Pb 0.2926 0.2065 0.5000
Ge 0.7760 0.5470 0.5000
Ge 0.5470 0.2240 0.5000
Ge 0.5203 0.8931 0.0000
Pb 0.9534 0.7250 0.0000
Pb 0.7074 0.7935 0.5000
Pb 0.7935 0.2926 0.5000
Ge 0.4530 0.7760 0.5000
Pb 0.2065 0.7074 0.5000
Ge 0.4797 0.1069 0.0000
Ge 0.8931 0.4797 0.0000
Ge 0.2240 0.4530 0.5000
Pb 0.7250 0.0466 0.0000
Ge 0.1069 0.5203 0.0000